[1]
# V5Ge5Os | Alexandria | GGA-PBE | relaxed
data_V5Ge5Os
_chemical_formula_sum 'V5 Ge5 Os1'
_space_group_name_H-M_alt 'P 1'
_space_group_IT_number 1
_space_group_name_Hall 'P 1'
_cell_length_a 5.069
_cell_length_b 5.069
_cell_length_c 8.612
_cell_angle_alpha 94.76
_cell_angle_beta 94.76
_cell_angle_gamma 53.90
loop_
_atom_site_label
_atom_site_fract_x
_atom_site_fract_y
_atom_site_fract_z
V1 0.000 0.000 0.000
V2 0.291 0.291 0.062
V3 0.444 0.444 0.830
V4 0.556 0.556 0.170
V5 0.709 0.709 0.938
Ge1 0.154 0.154 0.767
Ge2 0.176 0.176 0.303
Ge3 0.500 0.500 0.500
Ge4 0.824 0.824 0.697
Ge5 0.846 0.846 0.233
Os1 0.000 0.000 0.500
# * D(E_F): 7.77 states/eV/cell
# * magnetization: 0.0 μB per formula unit
# * energy relative to the elements: 108 meV per atom



[2]
# GaAs2I | Alexandria | GGA-PBE | relaxed
data_GaAs2I
_chemical_formula_sum 'Ga1 As2 I1'
_space_group_name_H-M_alt 'P 1'
_space_group_IT_number 1
_space_group_name_Hall 'P 1'
_cell_length_a 5.048
_cell_length_b 5.048
_cell_length_c 5.048
_cell_angle_alpha 60.00
_cell_angle_beta 60.00
_cell_angle_gamma 60.00
loop_
_atom_site_label
_atom_site_fract_x
_atom_site_fract_y
_atom_site_fract_z
Ga1 0.000 0.000 0.000
As1 0.250 0.250 0.250
As2 0.750 0.750 0.750
I1 0.500 0.500 0.500
# * D(E_F): 2.40 states/eV/cell
# * magnetization: 0.0 μB per formula unit
# * energy above the most stable polymorph in this dataset: 251 meV per atom



[3]
# LiInBi | Alexandria | GGA-PBE | relaxed
data_LiInBi
_chemical_formula_sum 'Li1 In1 Bi1'
_space_group_name_H-M_alt 'P 1'
_space_group_IT_number 1
_space_group_name_Hall 'P 1'
_cell_length_a 5.532
_cell_length_b 5.532
_cell_length_c 5.532
_cell_angle_alpha 136.59
_cell_angle_beta 136.59
_cell_angle_gamma 63.06
loop_
_atom_site_label
_atom_site_fract_x
_atom_site_fract_y
_atom_site_fract_z
Li1 0.000 0.000 0.000
In1 0.679 0.679 0.000
Bi1 0.337 0.337 0.000
# * D(E_F): 1.41 states/eV/cell
# * magnetization: 0.0 μB per formula unit
# * energy relative to the elements: -166 meV per atom
# * energy above the most stable polymorph in this dataset: 14 meV per atom



[4]
# NaAcLaSm | Alexandria | GGA-PBE | relaxed
data_NaAcLaSm
_chemical_formula_sum 'Na1 Ac1 La1 Sm1'
_space_group_name_H-M_alt 'P 1'
_space_group_IT_number 1
_space_group_name_Hall 'P 1'
_cell_length_a 5.977
_cell_length_b 5.977
_cell_length_c 5.977
_cell_angle_alpha 60.00
_cell_angle_beta 60.00
_cell_angle_gamma 60.00
loop_
_atom_site_label
_atom_site_fract_x
_atom_site_fract_y
_atom_site_fract_z
Na1 0.000 0.000 0.000
Ac1 0.250 0.250 0.250
La1 0.750 0.750 0.750
Sm1 0.500 0.500 0.500
# * D(E_F): 5.38 states/eV/cell
# * magnetization: 0.0 μB per formula unit
# * energy relative to the elements: 228 meV per atom



[5]
# PmReN3 | Alexandria | GGA-PBE | relaxed
data_PmReN3
_chemical_formula_sum 'Pm2 Re2 N6'
_space_group_name_H-M_alt 'P 1'
_space_group_IT_number 1
_space_group_name_Hall 'P 1'
_cell_length_a 5.545
_cell_length_b 5.545
_cell_length_c 5.545
_cell_angle_alpha 119.87
_cell_angle_beta 90.86
_cell_angle_gamma 119.14
loop_
_atom_site_label
_atom_site_fract_x
_atom_site_fract_y
_atom_site_fract_z
Pm1 0.259 0.009 0.250
Pm2 0.741 0.991 0.750
Re1 0.000 0.500 0.500
Re2 0.500 0.500 0.000
N1 0.177 0.427 0.750
N2 0.290 0.000 0.790
N3 0.290 0.500 0.290
N4 0.710 0.000 0.210
N5 0.710 0.500 0.710
N6 0.823 0.573 0.250
# * D(E_F): 2.35 states/eV/cell
# * magnetization: 0.0 μB per formula unit
# * total energy: -9.098 eV/atom



[6]
# Ca2TlZn | Alexandria | GGA-PBE | relaxed
data_Ca2TlZn
_chemical_formula_sum 'Ca2 Tl1 Zn1'
_space_group_name_H-M_alt 'P 1'
_space_group_IT_number 1
_space_group_name_Hall 'P 1'
_cell_length_a 6.162
_cell_length_b 6.162
_cell_length_c 6.162
_cell_angle_alpha 135.59
_cell_angle_beta 135.59
_cell_angle_gamma 64.61
loop_
_atom_site_label
_atom_site_fract_x
_atom_site_fract_y
_atom_site_fract_z
Ca1 0.000 0.000 0.000
Ca2 0.750 0.250 0.500
Tl1 0.250 0.750 0.500
Zn1 0.500 0.500 0.000
# * D(E_F): 3.97 states/eV/cell
# * magnetization: 0.0 μB per formula unit
# * energy relative to the elements: -160 meV per atom



[7]
# PrNdPtAu | Alexandria | GGA-PBE | relaxed
data_PrNdPtAu
_chemical_formula_sum 'Pr1 Nd1 Pt1 Au1'
_space_group_name_H-M_alt 'P 1'
_space_group_IT_number 1
_space_group_name_Hall 'P 1'
_cell_length_a 4.701
_cell_length_b 5.888
_cell_length_c 5.888
_cell_angle_alpha 39.17
_cell_angle_beta 90.00
_cell_angle_gamma 90.00
loop_
_atom_site_label
_atom_site_fract_x
_atom_site_fract_y
_atom_site_fract_z
Pr1 0.000 0.000 0.000
Nd1 0.500 0.725 0.725
Pt1 0.000 0.273 0.273
Au1 0.500 0.447 0.447
# * D(E_F): 2.98 states/eV/cell
# * magnetization: 0.0 μB per formula unit
# * energy relative to the elements: -961 meV per atom
# * energy above the most stable polymorph in this dataset: 0 meV per atom



[8]
# LiPmNdEu | Alexandria | GGA-PBE | relaxed
data_LiPmNdEu
_chemical_formula_sum 'Li1 Pm1 Nd1 Eu1'
_space_group_name_H-M_alt 'P 1'
_space_group_IT_number 1
_space_group_name_Hall 'P 1'
_cell_length_a 5.738
_cell_length_b 5.738
_cell_length_c 5.738
_cell_angle_alpha 60.00
_cell_angle_beta 60.00
_cell_angle_gamma 60.00
loop_
_atom_site_label
_atom_site_fract_x
_atom_site_fract_y
_atom_site_fract_z
Li1 0.000 0.000 0.000
Pm1 0.500 0.500 0.500
Nd1 0.250 0.250 0.250
Eu1 0.750 0.750 0.750
# * D(E_F): 5.51 states/eV/cell
# * magnetization: 7.1 μB per formula unit
# * energy relative to the elements: 215 meV per atom



[9]
# Tb6Ho6Er | Alexandria | GGA-PBE | relaxed
data_Tb6Ho6Er
_chemical_formula_sum 'Tb6 Ho6 Er1'
_space_group_name_H-M_alt 'P 1'
_space_group_IT_number 1
_space_group_name_Hall 'P 1'
_cell_length_a 6.520
_cell_length_b 10.988
_cell_length_c 6.531
_cell_angle_alpha 90.00
_cell_angle_beta 115.45
_cell_angle_gamma 90.00
loop_
_atom_site_label
_atom_site_fract_x
_atom_site_fract_y
_atom_site_fract_z
Tb1 0.000 0.167 0.000
Tb2 0.000 0.833 0.000
Tb3 0.269 0.000 0.742
Tb4 0.325 0.500 0.609
Tb5 0.675 0.500 0.391
Tb6 0.731 0.000 0.258
Ho1 0.000 0.267 0.500
Ho2 0.000 0.733 0.500
Ho3 0.500 0.197 0.500
Ho4 0.500 0.286 0.000
Ho5 0.500 0.714 0.000
Ho6 0.500 0.803 0.500
Er1 0.000 0.500 0.000
# * D(E_F): 19.00 states/eV/cell
# * magnetization: 0.0 μB per formula unit
# * energy relative to the elements: 233 meV per atom



[10]
# Nd3AgPd | Alexandria | GGA-PBE | relaxed
data_Nd3AgPd
_chemical_formula_sum 'Nd12 Ag4 Pd4'
_space_group_name_H-M_alt 'P 1'
_space_group_IT_number 1
_space_group_name_Hall 'P 1'
_cell_length_a 9.287
_cell_length_b 7.733
_cell_length_c 8.453
_cell_angle_alpha 90.00
_cell_angle_beta 107.45
_cell_angle_gamma 90.00
loop_
_atom_site_label
_atom_site_fract_x
_atom_site_fract_y
_atom_site_fract_z
Nd1 0.072 0.005 0.216
Nd2 0.072 0.495 0.716
Nd3 0.306 0.153 0.619
Nd4 0.306 0.347 0.119
Nd5 0.357 0.676 0.491
Nd6 0.357 0.824 0.991
Nd7 0.643 0.176 0.009
Nd8 0.643 0.324 0.509
Nd9 0.694 0.653 0.881
Nd10 0.694 0.847 0.381
Nd11 0.928 0.505 0.284
Nd12 0.928 0.995 0.784
Ag1 0.065 0.671 0.037
Ag2 0.065 0.829 0.537
Ag3 0.935 0.171 0.463
Ag4 0.935 0.329 0.963
Pd1 0.414 0.038 0.323
Pd2 0.414 0.462 0.823
Pd3 0.586 0.538 0.177
Pd4 0.586 0.962 0.677
# * D(E_F): 22.72 states/eV/cell
# * magnetization: 0.0 μB per formula unit
# * energy relative to the elements: -349 meV per atom
# * energy above the most stable polymorph in this dataset: 0 meV per atom



[11]
# BaCa3Ag | Alexandria | GGA-PBE | relaxed
data_BaCa3Ag
_chemical_formula_sum 'Ba1 Ca3 Ag1'
_space_group_name_H-M_alt 'P 1'
_space_group_IT_number 1
_space_group_name_Hall 'P 1'
_cell_length_a 5.960
_cell_length_b 5.960
_cell_length_c 5.960
_cell_angle_alpha 90.00
_cell_angle_beta 90.00
_cell_angle_gamma 90.00
loop_
_atom_site_label
_atom_site_fract_x
_atom_site_fract_y
_atom_site_fract_z
Ba1 0.000 0.000 0.000
Ca1 0.000 0.500 0.500
Ca2 0.500 0.000 0.500
Ca3 0.500 0.500 0.000
Ag1 0.500 0.500 0.500
# * D(E_F): 5.44 states/eV/cell
# * magnetization: 0.0 μB per formula unit
# * energy relative to the elements: -93 meV per atom
# * energy above the most stable polymorph in this dataset: 18 meV per atom



[12]
# SrTaSi2 | Alexandria | GGA-PBE | relaxed
data_SrTaSi2
_chemical_formula_sum 'Sr1 Ta1 Si2'
_space_group_name_H-M_alt 'P 1'
_space_group_IT_number 1
_space_group_name_Hall 'P 1'
_cell_length_a 4.769
_cell_length_b 4.769
_cell_length_c 4.769
_cell_angle_alpha 60.00
_cell_angle_beta 60.00
_cell_angle_gamma 60.00
loop_
_atom_site_label
_atom_site_fract_x
_atom_site_fract_y
_atom_site_fract_z
Sr1 0.000 0.000 0.000
Ta1 0.750 0.750 0.750
Si1 0.250 0.250 0.250
Si2 0.500 0.500 0.500
# * D(E_F): 3.67 states/eV/cell
# * magnetization: 0.0 μB per formula unit
# * energy above the most stable polymorph in this dataset: 1026 meV per atom



[13]
# LaMg7Cd5 | Alexandria | GGA-PBE | relaxed
data_LaMg7Cd5
_chemical_formula_sum 'La1 Mg7 Cd5'
_space_group_name_H-M_alt 'P 1'
_space_group_IT_number 1
_space_group_name_Hall 'P 1'
_cell_length_a 7.711
_cell_length_b 7.711
_cell_length_c 7.711
_cell_angle_alpha 134.65
_cell_angle_beta 98.41
_cell_angle_gamma 98.69
loop_
_atom_site_label
_atom_site_fract_x
_atom_site_fract_y
_atom_site_fract_z
La1 0.000 0.000 0.000
Mg1 0.215 0.502 0.713
Mg2 0.350 0.350 0.000
Mg3 0.350 0.999 0.351
Mg4 0.648 0.648 0.000
Mg5 0.648 0.999 0.649
Mg6 0.782 0.282 0.500
Mg7 0.790 0.502 0.287
Cd1 0.000 0.003 0.497
Cd2 0.000 0.503 0.997
Cd3 0.210 0.710 0.500
Cd4 0.505 0.003 0.003
Cd5 0.505 0.503 0.503
# * D(E_F): 4.55 states/eV/cell
# * magnetization: 0.0 μB per formula unit
# * energy relative to the elements: -172 meV per atom



[14]
# KLa2Cd | Alexandria | GGA-PBE | relaxed
data_KLa2Cd
_chemical_formula_sum 'K1 La2 Cd1'
_space_group_name_H-M_alt 'P 1'
_space_group_IT_number 1
_space_group_name_Hall 'P 1'
_cell_length_a 5.133
_cell_length_b 5.133
_cell_length_c 5.391
_cell_angle_alpha 90.00
_cell_angle_beta 90.00
_cell_angle_gamma 90.00
loop_
_atom_site_label
_atom_site_fract_x
_atom_site_fract_y
_atom_site_fract_z
K1 0.000 0.000 0.000
La1 0.000 0.500 0.500
La2 0.500 0.000 0.500
Cd1 0.500 0.500 0.000
# * D(E_F): 6.84 states/eV/cell
# * magnetization: 0.0 μB per formula unit
# * energy relative to the elements: 227 meV per atom



[15]
# Pa3Zn3Cu8 | Alexandria | GGA-PBE | relaxed
data_Pa3Zn3Cu8
_chemical_formula_sum 'Pa3 Zn3 Cu8'
_space_group_name_H-M_alt 'P 1'
_space_group_IT_number 1
_space_group_name_Hall 'P 1'
_cell_length_a 7.866
_cell_length_b 7.866
_cell_length_c 7.866
_cell_angle_alpha 148.56
_cell_angle_beta 114.39
_cell_angle_gamma 74.56
loop_
_atom_site_label
_atom_site_fract_x
_atom_site_fract_y
_atom_site_fract_z
Pa1 0.000 0.000 0.000
Pa2 0.288 0.288 0.000
Pa3 0.712 0.712 0.000
Zn1 0.311 0.500 0.811
Zn2 0.500 0.000 0.500
Zn3 0.689 0.500 0.189
Cu1 0.017 0.660 0.357
Cu2 0.148 0.862 0.286
Cu3 0.302 0.660 0.643
Cu4 0.424 0.138 0.286
Cu5 0.576 0.862 0.714
Cu6 0.698 0.340 0.357
Cu7 0.852 0.138 0.714
Cu8 0.983 0.340 0.643
# * D(E_F): 14.05 states/eV/cell
# * magnetization: 0.0 μB per formula unit
# * energy relative to the elements: -51 meV per atom



[16]
# Sr2PmSn3Rh4 | Alexandria | GGA-PBE | relaxed
data_Sr2PmSn3Rh4
_chemical_formula_sum 'Sr2 Pm1 Sn3 Rh4'
_space_group_name_H-M_alt 'P 1'
_space_group_IT_number 1
_space_group_name_Hall 'P 1'
_cell_length_a 4.541
_cell_length_b 4.541
_cell_length_c 11.471
_cell_angle_alpha 90.00
_cell_angle_beta 90.00
_cell_angle_gamma 90.00
loop_
_atom_site_label
_atom_site_fract_x
_atom_site_fract_y
_atom_site_fract_z
Sr1 0.000 0.500 0.230
Sr2 0.500 0.000 0.770
Pm1 0.000 0.000 0.500
Sn1 0.000 0.500 0.879
Sn2 0.500 0.000 0.121
Sn3 0.500 0.500 0.500
Rh1 0.000 0.000 0.000
Rh2 0.000 0.500 0.645
Rh3 0.500 0.000 0.355
Rh4 0.500 0.500 0.000
# * D(E_F): 4.71 states/eV/cell
# * magnetization: 0.0 μB per formula unit
# * energy relative to the elements: -664 meV per atom



[17]
# Sm2Y4Te3N2 | Alexandria | GGA-PBE | relaxed
data_Sm2Y4Te3N2
_chemical_formula_sum 'Sm2 Y4 Te3 N2'
_space_group_name_H-M_alt 'P 1'
_space_group_IT_number 1
_space_group_name_Hall 'P 1'
_cell_length_a 13.317
_cell_length_b 13.317
_cell_length_c 13.317
_cell_angle_alpha 160.08
_cell_angle_beta 160.08
_cell_angle_gamma 28.31
loop_
_atom_site_label
_atom_site_fract_x
_atom_site_fract_y
_atom_site_fract_z
Sm1 0.196 0.196 0.000
Sm2 0.804 0.804 0.000
Y1 0.086 0.586 0.500
Y2 0.414 0.914 0.500
Y3 0.586 0.086 0.500
Y4 0.914 0.414 0.500
Te1 0.323 0.323 0.000
Te2 0.500 0.500 0.000
Te3 0.677 0.677 0.000
N1 0.102 0.102 0.000
N2 0.898 0.898 0.000
# * D(E_F): 6.76 states/eV/cell
# * magnetization: 0.0 μB per formula unit
# * total energy: -6.765 eV/atom



[18]
# AlTeH2Os | Alexandria | GGA-PBE | relaxed
data_AlTeH2Os
_chemical_formula_sum 'Al1 Te1 H2 Os1'
_space_group_name_H-M_alt 'P 1'
_space_group_IT_number 1
_space_group_name_Hall 'P 1'
_cell_length_a 3.683
_cell_length_b 3.683
_cell_length_c 5.424
_cell_angle_alpha 90.00
_cell_angle_beta 90.00
_cell_angle_gamma 90.00
loop_
_atom_site_label
_atom_site_fract_x
_atom_site_fract_y
_atom_site_fract_z
Al1 0.000 0.000 0.000
Te1 0.500 0.500 0.500
H1 0.000 0.500 0.500
H2 0.500 0.000 0.500
Os1 0.500 0.500 0.000
# * D(E_F): 1.80 states/eV/cell
# * magnetization: 0.3 μB per formula unit
# * total energy: -4.419 eV/atom



[19]
# TlBiTeSe3 | Alexandria | GGA-PBE | relaxed
data_TlBiTeSe3
_chemical_formula_sum 'Tl2 Bi2 Te2 Se6'
_space_group_name_H-M_alt 'P 1'
_space_group_IT_number 1
_space_group_name_Hall 'P 1'
_cell_length_a 8.901
_cell_length_b 4.339
_cell_length_c 10.441
_cell_angle_alpha 90.00
_cell_angle_beta 97.17
_cell_angle_gamma 90.00
loop_
_atom_site_label
_atom_site_fract_x
_atom_site_fract_y
_atom_site_fract_z
Tl1 0.150 0.250 0.187
Tl2 0.850 0.750 0.813
Bi1 0.345 0.750 0.879
Bi2 0.655 0.250 0.121
Te1 0.130 0.250 0.552
Te2 0.870 0.750 0.448
Se1 0.124 0.250 0.889
Se2 0.302 0.750 0.565
Se3 0.422 0.750 0.148
Se4 0.578 0.250 0.852
Se5 0.698 0.250 0.435
Se6 0.876 0.750 0.111
# * D(E_F): 4.33 states/eV/cell
# * magnetization: 0.0 μB per formula unit
# * total energy: -3.515 eV/atom



[20]
# CePm2In | Alexandria | GGA-PBE | relaxed
data_CePm2In
_chemical_formula_sum 'Ce1 Pm2 In1'
_space_group_name_H-M_alt 'P 1'
_space_group_IT_number 1
_space_group_name_Hall 'P 1'
_cell_length_a 11.313
_cell_length_b 11.313
_cell_length_c 11.313
_cell_angle_alpha 18.30
_cell_angle_beta 18.30
_cell_angle_gamma 18.30
loop_
_atom_site_label
_atom_site_fract_x
_atom_site_fract_y
_atom_site_fract_z
Ce1 0.000 0.000 0.000
Pm1 0.245 0.245 0.245
Pm2 0.420 0.420 0.420
In1 0.833 0.833 0.833
# * D(E_F): 7.54 states/eV/cell
# * magnetization: 1.1 μB per formula unit
# * energy relative to the elements: -71 meV per atom
# * energy above the most stable polymorph in this dataset: 156 meV per atom